ZnCd2Hg: optimized geometry, PBEsol.

a b c (Å): 4.253 4.253 5.272
angles (deg): 113.79 113.79 90.00
Positions (direct):
Zn (0.000, 0.000, 0.000)
Hg (0.500, 0.500, 0.000)
Cd (0.750, 0.250, 0.500)
Cd (0.250, 0.750, 0.500)

Summary:
Density of states at the Fermi level: 1.3 states/eV/cell
SG: No. 139
E_form: 0.0586 eV/atom
Calculated volume: 78.3 Å³/f.u.
Final energy: -1.08 eV per atom

Zn2Cd2Hg: optimized geometry, PBEsol.

a b c (Å): 3.676 3.676 7.747
angles (deg): 103.72 103.72 90.00
Positions (direct):
Zn (0.250, 0.750, 0.500)
Zn (0.750, 0.250, 0.500)
Hg (0.000, 0.000, 0.000)
Cd (0.396, 0.396, 0.792)
Cd (0.604, 0.604, 0.208)

Summary:
Density of states at the Fermi level: 1.9 states/eV/cell
SG: No. 139
E_form: 0.1048 eV/atom
Calculated volume: 98.6 Å³/f.u.
Final energy: -1.12 eV per atom

ZnCdHg2: optimized geometry, PBEsol.

a b c (Å): 4.320 4.320 9.876
angles (deg): 102.63 102.63 90.00
Positions (direct):
Zn (0.750, 0.250, 0.500)
Zn (0.500, 0.500, 0.000)
Hg (0.390, 0.875, 0.250)
Hg (0.860, 0.375, 0.250)
Hg (0.125, 0.140, 0.750)
Hg (0.625, 0.610, 0.750)
Cd (0.250, 0.750, 0.500)
Cd (0.000, 0.000, 0.000)

Summary:
Density of states at the Fermi level: 2.9 states/eV/cell
SG: No. 122
E_form: 0.0862 eV/atom
Calculated volume: 87.6 Å³/f.u.
Final energy: -0.89 eV per atom

ZnCd2Hg: optimized geometry, PBEsol.

a b c (Å): 2.850 5.320 5.320
angles (deg): 90.00 90.00 90.00
Positions (direct):
Cd (0.000, 0.000, 0.500)
Cd (0.000, 0.500, 0.000)
Hg (0.500, 0.500, 0.500)
Zn (0.500, 0.000, 0.000)

Summary:
Density of states at the Fermi level: 1.2 states/eV/cell
SG: No. 123
E_form: 0.0767 eV/atom
Calculated volume: 80.7 Å³/f.u.
Final energy: -1.06 eV per atom

Zn2CdHg: optimized geometry, PBEsol.

a b c (Å): 3.979 4.249 4.249
angles (deg): 90.00 90.00 90.00
Positions (direct):
Cd (0.500, 0.500, 0.500)
Hg (0.500, 0.000, 0.000)
Zn (0.000, 0.000, 0.500)
Zn (0.000, 0.500, 0.000)

Summary:
Density of states at the Fermi level: 1.4 states/eV/cell
SG: No. 123
E_form: 0.0935 eV/atom
Calculated volume: 71.8 Å³/f.u.
Final energy: -1.14 eV per atom

ZnCd2Hg: optimized geometry, PBEsol.

a b c (Å): 3.114 5.600 4.899
angles (deg): 101.29 108.53 90.00
Positions (direct):
Zn (0.000, 0.500, 0.000)
Hg (0.500, 0.000, 0.000)
Cd (0.258, 0.268, 0.516)
Cd (0.742, 0.732, 0.484)

Summary:
Density of states at the Fermi level: 1.2 states/eV/cell
SG: No. 12
E_form: 0.0508 eV/atom
Calculated volume: 79.3 Å³/f.u.
Final energy: -1.08 eV per atom

ZnCd2Hg: optimized geometry, PBEsol.

a b c (Å): 2.919 4.087 6.624
angles (deg): 90.00 90.00 90.00
Positions (direct):
Zn (0.500, 0.500, 0.753)
Hg (0.000, 0.000, 0.519)
Cd (0.000, 0.000, 0.983)
Cd (0.500, 0.500, 0.246)

Summary:
Density of states at the Fermi level: 1.2 states/eV/cell
SG: No. 25
E_form: 0.0553 eV/atom
Calculated volume: 79.0 Å³/f.u.
Final energy: -1.08 eV per atom

Zr2ZnCdHg: optimized geometry, PBEsol.

a b c (Å): 4.617 5.207 5.207
angles (deg): 90.00 90.00 90.00
Positions (direct):
Zn (0.500, 0.000, 0.000)
Hg (0.500, 0.500, 0.500)
Zr (0.000, 0.000, 0.500)
Zr (0.000, 0.500, 0.000)
Cd (0.000, 0.000, 0.000)

Summary:
Density of states at the Fermi level: 5.4 states/eV/cell
SG: No. 123
E_form: 0.8543 eV/atom
Calculated volume: 125.2 Å³/f.u.
Final energy: -3.45 eV per atom